w.
First-principles (SCAN) data for ZnMo2Pb at its PBEsol-relaxed geometry, as listed in Alexandria via LeMat-Bulk.

Cell: 5.2867 5.2867 5.2867 Å, 143.77 128.91 64.23°
With the nearest neighbours (Å) after each atom.
Fractional positions:
Zn 0.0000 0.0000 0.0000  4 Mo 2.73, 4 Pb 2.81
Mo 0.2427 0.7427 0.5000  2 Zn 2.73, 4 Mo 2.81, 2 Pb 2.83
Mo 0.7573 0.2573 0.5000  2 Zn 2.73, 4 Mo 2.81, 2 Pb 2.83
Pb 0.5000 0.5000 0.0000  4 Zn 2.81, 4 Mo 2.83

## Properties
As for the space group: Immm (71). The total magnetization comes out at 0.00 μB/cell. The value obtained for the calculated density is 11.5 g/cm³.

---

x.
First-principles (SCAN) data for ZnMo2Pb at its PBEsol-relaxed geometry, as listed in Alexandria via LeMat-Bulk.

Cell: 3.3914 3.3914 6.0177 Å, 90.00 90.00 90.00°
With the nearest neighbours (Å) after each atom.
Fractional positions:
Zn 0.0000 0.0000 0.0000  8 Mo 2.68
Mo 0.5000 0.5000 0.1971  1 Mo 2.37
Mo 0.5000 0.5000 0.8029  1 Mo 2.37
Pb 0.0000 0.0000 0.5000  2 Zn 3.01, 8 Mo 3.01

## Properties
As for the space group: P4/mmm (123). The total magnetization comes out at 0.00 μB/cell. The value obtained for the calculated density is 11.1 g/cm³.

---

What is the stability order? It is w, x, from most stable to least stable.